Record 1
# BeRu2Se, PBEsol geometry, DFT meta-GGA SCAN
data_BeRu2Se
_cell_length_a 3.4885
_cell_length_b 3.4885
_cell_length_c 8.4439
_cell_angle_alpha 90.00
_cell_angle_beta 90.00
_cell_angle_gamma 90.00
_space_group_name_H-M_alt 'I -4 m 2'
_space_group_IT_number 119
_space_group_name_Hall 'I -4 -2'
loop_
_atom_site_label
_atom_site_type_symbol
_atom_site_fract_x
_atom_site_fract_y
_atom_site_fract_z
Be1 Be 0.0000 0.0000 0.0000
Ru1 Ru 0.0000 0.0000 0.5000
Ru2 Ru 0.0000 0.5000 0.2500
Se1 Se 0.0000 0.5000 0.7500
# - D(E_F): 1.02 states/eV/atom
# - E above lowest polymorph: 192 meV per atom
# - Raw total energy: -185.6 eV per cell
# - Formation energy from raw total energies: 1.3 eV per formula unit

---

Record 2
# BeRu2Se, PBEsol geometry, DFT meta-GGA SCAN
data_BeRu2Se
_cell_length_a 5.9640
_cell_length_b 5.9640
_cell_length_c 5.9640
_cell_angle_alpha 90.00
_cell_angle_beta 90.00
_cell_angle_gamma 90.00
_space_group_name_H-M_alt 'F -4 3 m'
_space_group_IT_number 216
_space_group_name_Hall 'F -4 2 3'
loop_
_atom_site_label
_atom_site_type_symbol
_atom_site_fract_x
_atom_site_fract_y
_atom_site_fract_z
Be1 Be 0.0000 0.0000 0.0000
Ru1 Ru 0.0000 0.0000 0.5000
Ru2 Ru 0.2500 0.2500 0.7500
Se1 Se 0.2500 0.2500 0.2500
# - D(E_F): 0.98 states/eV/atom
# - E above lowest polymorph: 397 meV per atom
# - Raw total energy: -367.9 eV per cell
# - Formation energy from raw total energies: 2.1 eV per formula unit

---

Record 3
# BeRu2Se, PBEsol geometry, DFT meta-GGA SCAN
data_BeRu2Se
_cell_length_a 7.7275
_cell_length_b 2.8634
_cell_length_c 4.7517
_cell_angle_alpha 90.00
_cell_angle_beta 102.10
_cell_angle_gamma 90.00
_space_group_name_H-M_alt 'C 1 2/m 1'
_space_group_IT_number 12
loop_
_space_group_symop_operation_xyz
'x,y,z'
'-x,-y,-z'
'-x,y,-z'
'x,-y,z'
'x+1/2,y+1/2,z'
'-x+1/2,-y+1/2,-z'
'-x+1/2,y+1/2,-z'
'x+1/2,-y+1/2,z'
loop_
_atom_site_label
_atom_site_type_symbol
_atom_site_fract_x
_atom_site_fract_y
_atom_site_fract_z
Be1 Be 0.0000 0.0000 0.0000
Ru1 Ru 0.2428 0.5000 0.2364
Se1 Se 0.0000 0.5000 0.5000
# - D(E_F): 0.72 states/eV/atom
# - E above lowest polymorph: 0 meV per atom
# - Raw total energy: -187.1 eV per cell
# - Formation energy from raw total energies: 0.5 eV per formula unit

---

Record 4
# BeRu2Se, PBEsol geometry, DFT meta-GGA SCAN
data_BeRu2Se
_cell_length_a 2.8391
_cell_length_b 3.8706
_cell_length_c 5.2406
_cell_angle_alpha 90.00
_cell_angle_beta 105.30
_cell_angle_gamma 90.00
_space_group_name_H-M_alt 'P 1 2/m 1'
_space_group_IT_number 10
loop_
_space_group_symop_operation_xyz
'x,y,z'
'-x,-y,-z'
'-x,y,-z'
'x,-y,z'
loop_
_atom_site_label
_atom_site_type_symbol
_atom_site_fract_x
_atom_site_fract_y
_atom_site_fract_z
Be1 Be 0.0000 0.0000 0.0000
Ru1 Ru 0.1658 0.5000 0.7876
Se1 Se 0.0000 0.0000 0.5000
# - D(E_F): 0.71 states/eV/atom
# - E above lowest polymorph: 115 meV per atom
# - Raw total energy: -93.1 eV per cell
# - Formation energy from raw total energies: 1.0 eV per formula unit

---

Record 5
# BeSiRu, PBEsol geometry, DFT meta-GGA SCAN
data_BeSiRu
_cell_length_a 2.9504
_cell_length_b 2.9504
_cell_length_c 7.6030
_cell_angle_alpha 90.00
_cell_angle_beta 90.00
_cell_angle_gamma 90.00
_space_group_name_H-M_alt 'I 4 m m'
_space_group_IT_number 107
_space_group_name_Hall 'I 4 -2'
loop_
_atom_site_label
_atom_site_type_symbol
_atom_site_fract_x
_atom_site_fract_y
_atom_site_fract_z
Be1 Be 0.0000 0.0000 0.0000
Si1 Si 0.0000 0.0000 0.3345
Ru1 Ru 0.0000 0.0000 0.6632
# - D(E_F): 0.00 states/eV/atom
# - Raw total energy: -102.5 eV per cell
# - Formation energy from raw total energies: -2.1 eV per formula unit

---

Record 6
# YBe2SiRu, PBEsol geometry, DFT meta-GGA SCAN
data_YBe2SiRu
_cell_length_a 4.2401
_cell_length_b 4.2401
_cell_length_c 4.4317
_cell_angle_alpha 90.00
_cell_angle_beta 90.00
_cell_angle_gamma 90.00
_space_group_name_H-M_alt 'P 4/m m m'
_space_group_IT_number 123
_space_group_name_Hall '-P 4 2'
loop_
_atom_site_label
_atom_site_type_symbol
_atom_site_fract_x
_atom_site_fract_y
_atom_site_fract_z
Y1 Y 0.0000 0.0000 0.0000
Be1 Be 0.0000 0.5000 0.5000
Si1 Si 0.5000 0.5000 0.0000
Ru1 Ru 0.5000 0.5000 0.5000
# - D(E_F): 0.38 states/eV/atom
# - Raw total energy: -83.0 eV per cell
# - Formation energy from raw total energies: -1.6 eV per formula unit

---

Record 7
# BeZnSnRu2, PBEsol geometry, DFT meta-GGA SCAN
data_BeZnSnRu2
_cell_length_a 4.7984
_cell_length_b 4.7984
_cell_length_c 4.6359
_cell_angle_alpha 90.00
_cell_angle_beta 90.00
_cell_angle_gamma 90.00
_space_group_name_H-M_alt 'P 4/m m m'
_space_group_IT_number 123
_space_group_name_Hall '-P 4 2'
loop_
_atom_site_label
_atom_site_type_symbol
_atom_site_fract_x
_atom_site_fract_y
_atom_site_fract_z
Be1 Be 0.0000 0.0000 0.0000
Zn1 Zn 0.5000 0.5000 0.0000
Sn1 Sn 0.5000 0.5000 0.5000
Ru1 Ru 0.0000 0.5000 0.5000
# - D(E_F): 0.55 states/eV/atom
# - Calculated formation energy: 1.86 eV per atom
# - Raw total energy: -114.1 eV per cell

---

Record 8
# Sr2BeRu, PBEsol geometry, DFT meta-GGA SCAN
data_Sr2BeRu
_cell_length_a 3.3097
_cell_length_b 3.3097
_cell_length_c 8.5718
_cell_angle_alpha 90.00
_cell_angle_beta 90.00
_cell_angle_gamma 90.00
_space_group_name_H-M_alt 'P 4 m m'
_space_group_IT_number 99
loop_
_space_group_symop_operation_xyz
'x,y,z'
'-y,x,z'
'-x,-y,z'
'y,-x,z'
'-x,y,z'
'y,x,z'
'x,-y,z'
'-y,-x,z'
loop_
_atom_site_label
_atom_site_type_symbol
_atom_site_fract_x
_atom_site_fract_y
_atom_site_fract_z
Sr1 Sr 0.0000 0.0000 0.0000
Sr2 Sr 0.5000 0.5000 0.4243
Be1 Be 0.0000 0.0000 0.6829
Ru1 Ru 0.5000 0.5000 0.7427
# - D(E_F): 0.33 states/eV/atom
# - Calculated formation energy: 0.17 eV per atom
# - Raw total energy: -83.0 eV per cell

---

Record 9
# Sr2BeRu, PBEsol geometry, DFT meta-GGA SCAN
data_Sr2BeRu
_cell_length_a 3.5454
_cell_length_b 3.5454
_cell_length_c 27.4969
_cell_angle_alpha 90.00
_cell_angle_beta 90.00
_cell_angle_gamma 120.00
_space_group_name_H-M_alt 'R -3 m'
_space_group_IT_number 166
_space_group_name_Hall '-R 3 2"'
loop_
_atom_site_label
_atom_site_type_symbol
_atom_site_fract_x
_atom_site_fract_y
_atom_site_fract_z
Sr1 Sr 0.0000 0.0000 0.2434
Be1 Be 0.0000 0.0000 0.0000
Ru1 Ru 0.0000 0.0000 0.5000
# - D(E_F): 1.01 states/eV/atom
# - Calculated formation energy: 0.98 eV per atom
# - Raw total energy: -239.5 eV per cell

---

Record 10
# SrBe3Ru, PBEsol geometry, DFT meta-GGA SCAN
data_SrBe3Ru
_cell_length_a 4.3491
_cell_length_b 4.3491
_cell_length_c 4.3491
_cell_angle_alpha 90.00
_cell_angle_beta 90.00
_cell_angle_gamma 90.00
_space_group_name_H-M_alt 'P m -3 m'
_space_group_IT_number 221
_space_group_name_Hall '-P 4 2 3'
loop_
_atom_site_label
_atom_site_type_symbol
_atom_site_fract_x
_atom_site_fract_y
_atom_site_fract_z
Sr1 Sr 0.0000 0.0000 0.0000
Be1 Be 0.0000 0.5000 0.5000
Ru1 Ru 0.5000 0.5000 0.5000
# - D(E_F): 0.27 states/eV/atom
# - Calculated formation energy: 0.02 eV per atom
# - Raw total energy: -70.1 eV per cell

---

Record 11
# Sr2BeRu, PBEsol geometry, DFT meta-GGA SCAN
data_Sr2BeRu
_cell_length_a 5.0438
_cell_length_b 5.0438
_cell_length_c 3.6412
_cell_angle_alpha 90.00
_cell_angle_beta 90.00
_cell_angle_gamma 90.00
_space_group_name_H-M_alt 'P 4/m m m'
_space_group_IT_number 123
_space_group_name_Hall '-P 4 2'
loop_
_atom_site_label
_atom_site_type_symbol
_atom_site_fract_x
_atom_site_fract_y
_atom_site_fract_z
Sr1 Sr 0.0000 0.5000 0.0000
Be1 Be 0.0000 0.0000 0.5000
Ru1 Ru 0.5000 0.5000 0.5000
# - D(E_F): 0.59 states/eV/atom
# - Calculated formation energy: 0.71 eV per atom
# - Raw total energy: -80.9 eV per cell

---

Record 12
# Ta2Be2Ru, PBEsol geometry, DFT meta-GGA SCAN
data_Ta2Be2Ru
_cell_length_a 6.2142
_cell_length_b 6.2142
_cell_length_c 3.2636
_cell_angle_alpha 90.00
_cell_angle_beta 90.00
_cell_angle_gamma 90.00
_space_group_name_H-M_alt 'P 4/m b m'
_space_group_IT_number 127
_space_group_name_Hall '-P 4 2ab'
loop_
_atom_site_label
_atom_site_type_symbol
_atom_site_fract_x
_atom_site_fract_y
_atom_site_fract_z
Ta1 Ta 0.1744 0.3256 0.0000
Be1 Be 0.1215 0.6215 0.5000
Ru1 Ru 0.0000 0.0000 0.5000
# - D(E_F): 0.09 states/eV/atom
# - Calculated formation energy: -0.43 eV per atom
# - Raw total energy: -357.7 eV per cell

---

Record 13
# TaBeRu4, PBEsol geometry, DFT meta-GGA SCAN
data_TaBeRu4
_cell_length_a 7.0297
_cell_length_b 7.0297
_cell_length_c 7.0297
_cell_angle_alpha 90.00
_cell_angle_beta 90.00
_cell_angle_gamma 90.00
_space_group_name_H-M_alt 'F -4 3 m'
_space_group_IT_number 216
_space_group_name_Hall 'F -4 2 3'
loop_
_atom_site_label
_atom_site_type_symbol
_atom_site_fract_x
_atom_site_fract_y
_atom_site_fract_z
Ta1 Ta 0.0000 0.0000 0.0000
Be1 Be 0.2500 0.2500 0.2500
Ru1 Ru 0.1243 0.1243 0.6243
# - D(E_F): 0.79 states/eV/atom
# - Calculated formation energy: 0.22 eV per atom
# - Raw total energy: -835.7 eV per cell

---

Record 14
# TaBe2Ru, PBEsol geometry, DFT meta-GGA SCAN
data_TaBe2Ru
_cell_length_a 3.1315
_cell_length_b 3.9107
_cell_length_c 4.0603
_cell_angle_alpha 90.00
_cell_angle_beta 90.00
_cell_angle_gamma 90.00
_space_group_name_H-M_alt 'P m m m'
_space_group_IT_number 47
loop_
_space_group_symop_operation_xyz
'x,y,z'
'-x,-y,-z'
'-x,-y,z'
'x,y,-z'
'x,-y,-z'
'-x,y,z'
'-x,y,-z'
'x,-y,z'
loop_
_atom_site_label
_atom_site_type_symbol
_atom_site_fract_x
_atom_site_fract_y
_atom_site_fract_z
Ta1 Ta 0.0000 0.0000 0.0000
Be1 Be 0.0000 0.5000 0.5000
Be2 Be 0.5000 0.5000 0.0000
Ru1 Ru 0.5000 0.0000 0.5000
# - D(E_F): 0.31 states/eV/atom
# - Calculated formation energy: -0.12 eV per atom
# - Raw total energy: -110.6 eV per cell

---

Record 15
# TaBe4Ru, PBEsol geometry, DFT meta-GGA SCAN
data_TaBe4Ru
_cell_length_a 6.2392
_cell_length_b 6.2392
_cell_length_c 6.2392
_cell_angle_alpha 90.00
_cell_angle_beta 90.00
_cell_angle_gamma 90.00
_space_group_name_H-M_alt 'F -4 3 m'
_space_group_IT_number 216
_space_group_name_Hall 'F -4 2 3'
loop_
_atom_site_label
_atom_site_type_symbol
_atom_site_fract_x
_atom_site_fract_y
_atom_site_fract_z
Ta1 Ta 0.0000 0.0000 0.0000
Be1 Be 0.1259 0.1259 0.3741
Ru1 Ru 0.2500 0.2500 0.7500
# - D(E_F): 0.28 states/eV/atom
# - Calculated formation energy: -0.47 eV per atom
# - Raw total energy: -486.5 eV per cell

---

Record 16
# Be4TcRu, PBEsol geometry, DFT meta-GGA SCAN
data_Be4TcRu
_cell_length_a 6.0912
_cell_length_b 6.0912
_cell_length_c 6.0912
_cell_angle_alpha 90.00
_cell_angle_beta 90.00
_cell_angle_gamma 90.00
_space_group_name_H-M_alt 'F -4 3 m'
_space_group_IT_number 216
_space_group_name_Hall 'F -4 2 3'
loop_
_atom_site_label
_atom_site_type_symbol
_atom_site_fract_x
_atom_site_fract_y
_atom_site_fract_z
Be1 Be 0.1241 0.1241 0.1241
Tc1 Tc 0.2500 0.2500 0.7500
Ru1 Ru 0.0000 0.0000 0.5000
# - D(E_F): 0.48 states/eV/atom
# - Calculated formation energy: -0.41 eV per atom
# - Raw total energy: -359.0 eV per cell

---

Record 17
# BeTcRu, PBEsol geometry, DFT meta-GGA SCAN
data_BeTcRu
_cell_length_a 5.5662
_cell_length_b 5.5662
_cell_length_c 5.5662
_cell_angle_alpha 90.00
_cell_angle_beta 90.00
_cell_angle_gamma 90.00
_space_group_name_H-M_alt 'F -4 3 m'
_space_group_IT_number 216
_space_group_name_Hall 'F -4 2 3'
loop_
_atom_site_label
_atom_site_type_symbol
_atom_site_fract_x
_atom_site_fract_y
_atom_site_fract_z
Be1 Be 0.0000 0.0000 0.0000
Tc1 Tc 0.2500 0.2500 0.2500
Ru1 Ru 0.0000 0.0000 0.5000
# - D(E_F): 0.79 states/eV/atom
# - Calculated formation energy: 0.40 eV per atom
# - E above lowest polymorph: 722 meV per atom
# - Raw total energy: -292.2 eV per cell

---

Record 18
# BeTcRu2, PBEsol geometry, DFT meta-GGA SCAN
data_BeTcRu2
_cell_length_a 2.6642
_cell_length_b 3.8229
_cell_length_c 5.0102
_cell_angle_alpha 90.00
_cell_angle_beta 103.62
_cell_angle_gamma 90.00
_space_group_name_H-M_alt 'P 1 2/m 1'
_space_group_IT_number 10
loop_
_space_group_symop_operation_xyz
'x,y,z'
'-x,-y,-z'
'-x,y,-z'
'x,-y,z'
loop_
_atom_site_label
_atom_site_type_symbol
_atom_site_fract_x
_atom_site_fract_y
_atom_site_fract_z
Be1 Be 0.0000 0.0000 0.0000
Tc1 Tc 0.0000 0.0000 0.5000
Ru1 Ru 0.3874 0.5000 0.2307
# - D(E_F): 0.70 states/eV/atom
# - Calculated formation energy: -0.03 eV per atom
# - Raw total energy: -109.2 eV per cell

---

Record 19
# BeTcRu, PBEsol geometry, DFT meta-GGA SCAN
data_BeTcRu
_cell_length_a 2.7986
_cell_length_b 2.7986
_cell_length_c 8.9299
_cell_angle_alpha 90.00
_cell_angle_beta 90.00
_cell_angle_gamma 90.00
_space_group_name_H-M_alt 'I 4 m m'
_space_group_IT_number 107
_space_group_name_Hall 'I 4 -2'
loop_
_atom_site_label
_atom_site_type_symbol
_atom_site_fract_x
_atom_site_fract_y
_atom_site_fract_z
Be1 Be 0.0000 0.0000 0.0000
Tc1 Tc 0.0000 0.0000 0.3342
Ru1 Ru 0.0000 0.0000 0.6506
# - D(E_F): 0.37 states/eV/atom
# - Calculated formation energy: -0.32 eV per atom
# - E above lowest polymorph: 0 meV per atom
# - Raw total energy: -150.4 eV per cell

---

Record 20
# BeTcRu, PBEsol geometry, DFT meta-GGA SCAN
data_BeTcRu
_cell_length_a 2.8606
_cell_length_b 4.3483
_cell_length_c 11.8368
_cell_angle_alpha 90.00
_cell_angle_beta 90.00
_cell_angle_gamma 90.00
_space_group_name_H-M_alt 'F m m 2'
_space_group_IT_number 42
_space_group_name_Hall 'F 2 -2'
loop_
_atom_site_label
_atom_site_type_symbol
_atom_site_fract_x
_atom_site_fract_y
_atom_site_fract_z
Be1 Be 0.0000 0.0000 0.0000
Tc1 Tc 0.0000 0.0000 0.3381
Ru1 Ru 0.0000 0.0000 0.6544
# - D(E_F): 1.00 states/eV/atom
# - Calculated formation energy: 0.15 eV per atom
# - E above lowest polymorph: 468 meV per atom
# - Raw total energy: -295.2 eV per cell